LaRuAu (PBE, optimized geometry); formation energy from the elements = -0.23 eV per formula unit
1.0
-1.822 1.822 4.884
1.822 -1.822 4.884
1.822 1.822 -4.884
La Ru Au
1 1 1
Direct
0.000 0.000 0.000
0.675 0.675 0.000
0.307 0.307 0.000